1.
{"formula": "CaCI2O", "functional": "GGA-PBE", "state": "relaxed", "cell": [[6.085, 0.000, 0.000], [0.000, 6.085, 0.000], [0.000, 0.000, 4.143]], "species": ["I", "I", "O", "Ca", "C"], "frac_coords": [[0.500, 0.000, 0.000], [0.000, 0.500, 0.000], [0.000, 0.000, 0.500], [0.000, 0.000, 0.000], [0.500, 0.500, 0.500]], "polymorph_energy_mev_per_atom": 575}

---

2.
{"formula": "CaPC2I", "functional": "GGA-PBE", "state": "relaxed", "cell": [[3.943, 0.000, 0.000], [0.000, 6.092, 0.000], [0.000, 0.000, 3.943]], "species": ["I", "C", "C", "P", "Ca"], "frac_coords": [[0.500, 0.500, 0.500], [0.000, 0.000, 0.500], [0.500, 0.000, 0.000], [0.000, 0.000, 0.000], [0.000, 0.500, 0.000]]}

---

Table of calculated density (g/cm³), in record order: 3.484; 3.893
Table of energy relative to the elements, uncorrected (eV per formula unit), in record order: 4.55; 6.03